First-principles (GGA-PBE) data for crystalline Tl2SnTe4As at its relaxed geometry, as listed in the Alexandria database. Values from VASP.

Geometry as Quantum ESPRESSO input:
```
&SYSTEM
  ibrav = 0, nat = 8, ntyp = 4
/
ATOMIC_SPECIES
Tl 204.38 Tl.upf
Sn 118.71 Sn.upf
Te 127.60 Te.upf
As 74.92 As.upf
CELL_PARAMETERS angstrom
7.585 0.000 0.000
0.000 4.330 0.000
-2.494 0.000 7.933
ATOMIC_POSITIONS angstrom
Tl 0.000 0.000 0.000
Tl 3.793 2.165 0.000
Sn -1.247 2.165 3.966
Te 0.120 0.000 5.680
Te 1.369 2.165 2.327
Te 3.722 2.165 5.606
Te 4.971 0.000 2.252
As 2.545 0.000 3.966
```

Calculated values
The total energy comes out at -0.126 Ha/atom. The density of states at the Fermi level is 3.621 states/eV/cell. For the formation energy without anion corrections, the calculation gives -4.125 kcal/mol of atoms. As for the mass density: 7.09 g/cm³.



First-principles (GGA-PBE) data for crystalline ErMgSnAu at its relaxed geometry, as listed in the Alexandria database. Values from VASP.

Geometry as Quantum ESPRESSO input:
```
&SYSTEM
  ibrav = 0, nat = 4, ntyp = 4
/
ATOMIC_SPECIES
Er 167.26 Er.upf
Mg 24.30 Mg.upf
Sn 118.71 Sn.upf
Au 196.97 Au.upf
CELL_PARAMETERS angstrom
0.000 3.561 3.561
3.561 0.000 3.561
3.561 3.561 0.000
ATOMIC_POSITIONS angstrom
Er 0.000 0.000 0.000
Mg 3.561 3.561 3.561
Sn 1.781 1.781 1.781
Au 5.342 5.342 5.342
```

Calculated values
The total energy comes out at -0.145 Ha/atom. The formation energy is -57.22 kJ per mole of atoms. The density of states at the Fermi level is 1.205 states/eV/cell. As for the mass density: 9.33 g/cm³.



First-principles (GGA-PBE) data for crystalline KLaCo2 at its relaxed geometry, as listed in the Alexandria database. Values from VASP.

Geometry as Quantum ESPRESSO input:
```
&SYSTEM
  ibrav = 0, nat = 4, ntyp = 3
/
ATOMIC_SPECIES
K 39.10 K.upf
La 138.91 La.upf
Co 58.93 Co.upf
CELL_PARAMETERS angstrom
3.864 -2.213 0.000
3.864 2.213 0.000
-2.642 0.000 6.431
ATOMIC_POSITIONS angstrom
K 0.000 0.000 0.000
La 2.543 0.000 3.216
Co -0.040 0.000 3.380
Co 5.126 0.000 3.051
```

Calculated values
The total energy comes out at -0.168 Ha/atom. The formation energy is 47.83 kJ per mole of atoms. The calculation puts the energy above the lowest structure with this stoichiometry at 0.275 eV per atom. The density of states at the Fermi level is 3.711 states/eV/cell. As for the mass density: 4.47 g/cm³.



First-principles (GGA-PBE) data for crystalline CaAc2Sm at its relaxed geometry, as listed in the Alexandria database. Values from VASP.

Geometry as Quantum ESPRESSO input:
```
&SYSTEM
  ibrav = 0, nat = 4, ntyp = 3
/
ATOMIC_SPECIES
Ca 40.08 Ca.upf
Ac 227.00 Ac.upf
Sm 150.36 Sm.upf
CELL_PARAMETERS angstrom
1.941 1.121 12.649
-1.941 1.121 12.649
0.000 -2.241 12.649
ATOMIC_POSITIONS angstrom
Ca 0.000 0.000 0.000
Ac 0.000 0.000 21.996
Ac 0.000 0.000 28.609
Sm 0.000 0.000 6.329
```

Calculated values
The total energy comes out at -0.136 Ha/atom. The formation energy is 3.09 kJ per mole of atoms. The calculation puts the energy above the lowest structure with this stoichiometry at 0.011 eV per atom. The density of states at the Fermi level is 4.921 states/eV/cell. As for the mass density: 6.48 g/cm³.